Entry 1:
Entry from the Alexandria database: Y2AgPb after structural relaxation (PBE-GGA).

## Properties
M_tot	0.00	μB/f.u.
energy	-4.5860	eV per atom

Cell: 7.006 7.006 7.006 Å, 56.95 151.65 131.70°
Element x y z (fractional)
Y  0.000  0.240  0.240
Ag  0.000  0.000  0.000
Pb  0.000  0.500  0.500
Y  0.000  0.760  0.760

Entry 2:
Entry from the Alexandria database: Ho4ZnCu2Os after structural relaxation (PBE-GGA).

## Properties
M_tot	0.00	μB/f.u.
energy	-5.1839	eV per atom

Cell: 4.906 4.906 8.468 Å, 73.16 73.16 60.00°
Element x y z (fractional)
Cu  0.254  0.254  0.238
Cu  0.746  0.746  0.762
Ho  0.380  0.380  0.860
Os  0.500  0.500  0.500
Ho  0.130  0.130  0.611
Zn  0.000  0.000  0.000
Ho  0.870  0.870  0.389
Ho  0.620  0.620  0.140

Entry 3:
Entry from the Alexandria database: CrTcSb2 after structural relaxation (PBE-GGA).

## Properties
M_tot	2.60	μB/f.u.
energy	-6.7175	eV per atom

Cell: 3.266 5.598 5.544 Å, 47.70 90.00 90.00°
Element x y z (fractional)
Cr  0.000  0.000  0.500
Sb  0.500  0.500  0.000
Sb  0.000  0.000  0.000
Tc  0.500  0.500  0.500

Entry 4:
Entry from the Alexandria database: ScPaPt2O8 after structural relaxation (PBE-GGA).

## Properties
M_tot	0.00	μB/f.u.
energy	-7.3190	eV per atom

Cell: 5.973 5.973 5.973 Å, 110.05 110.05 108.33°
Element x y z (fractional)
O  0.356  0.029  0.327
Sc  0.250  0.750  0.500
O  0.284  0.463  0.179
O  0.971  0.298  0.327
O  0.971  0.644  0.673
O  0.537  0.716  0.821
O  0.702  0.029  0.673
O  0.895  0.716  0.179
Pa  0.000  0.000  0.000
Pt  0.750  0.250  0.500
Pt  0.500  0.500  0.000
O  0.284  0.105  0.821

Entry 5:
Entry from the Alexandria database: BaRu3 after structural relaxation (PBE-GGA).

## Properties
M_tot	0.00	μB/f.u.
energy	-7.0120	eV per atom

Cell: 4.413 6.327 6.952 Å, 90.00 90.00 90.00°
Element x y z (fractional)
Ba  0.500  0.391  0.500
Ru  0.000  0.083  0.185
Ru  0.000  0.083  0.815
Ru  0.000  0.879  0.500
Ru  0.500  0.917  0.315
Ba  0.000  0.609  0.000
Ru  0.500  0.121  0.000
Ru  0.500  0.917  0.685

Entry 6:
Entry from the Alexandria database: AlPPb2Au after structural relaxation (PBE-GGA).

## Properties
M_tot	0.00	μB/f.u.
energy	-3.5422	eV per atom

Cell: 5.556 4.595 5.556 Å, 90.00 90.00 90.00°
Element x y z (fractional)
Pb  0.000  0.000  0.500
Al  0.000  0.500  0.000
P  0.000  0.000  0.000
Au  0.500  0.500  0.500
Pb  0.500  0.000  0.000

Entry 7:
Entry from the Alexandria database: LiInSn4 after structural relaxation (PBE-GGA).

## Properties
M_tot	0.00	μB/f.u.
energy	-3.4977	eV per atom

Cell: 7.493 5.254 5.254 Å, 112.45 108.48 108.48°
Element x y z (fractional)
In  0.000  0.500  0.000
Sn  0.738  0.964  0.111
Sn  0.738  0.611  0.464
Sn  0.262  0.389  0.536
Li  0.500  0.000  0.500
Sn  0.262  0.036  0.889

Entry 8:
Entry from the Alexandria database: BaMgAsW2 after structural relaxation (PBE-GGA).

## Properties
M_tot	0.00	μB/f.u.
energy	-5.6281	eV per atom

Cell: 4.768 5.869 4.768 Å, 90.00 90.00 90.00°
Element x y z (fractional)
W  0.500  0.000  0.000
Mg  0.500  0.500  0.500
As  0.000  0.000  0.000
W  0.000  0.000  0.500
Ba  0.000  0.500  0.000

Entry 9:
Entry from the Alexandria database: Pu3Bi2H after structural relaxation (PBE-GGA).

## Properties
M_tot	17.80	μB/f.u.
energy	-9.2316	eV per atom

Cell: 6.436 8.699 7.502 Å, 77.52 54.26 68.29°
Element x y z (fractional)
Pu  0.756  0.000  0.747
Pu  0.198  0.338  0.821
Bi  0.500  0.000  0.500
Pu  0.802  0.662  0.179
Bi  0.173  0.654  0.500
Pu  0.464  0.338  0.179
H  0.250  0.499  0.000
Bi  0.000  0.000  0.000
Pu  0.244  0.000  0.253
Bi  0.827  0.346  0.500
H  0.750  0.501  0.000
Pu  0.536  0.662  0.821

Entry 10:
Entry from the Alexandria database: TcSe2N after structural relaxation (PBE-GGA).

## Properties
M_tot	0.00	μB/f.u.
energy	-5.1395	eV per atom

Cell: 7.861 7.861 7.861 Å, 22.65 22.65 22.65°
Element x y z (fractional)
Se  0.102  0.102  0.102
Tc  0.000  0.000  0.000
Se  0.898  0.898  0.898
N  0.500  0.500  0.500

Entry 11:
Entry from the Alexandria database: CsBa2Hg2Bi2 after structural relaxation (PBE-GGA).

## Properties
M_tot	0.00	μB/f.u.
energy	-2.3669	eV per atom

Cell: 5.774 5.774 11.417 Å, 75.35 75.35 60.00°
Element x y z (fractional)
Hg  0.554  0.554  0.338
Hg  0.446  0.446  0.662
Bi  0.753  0.753  0.740
Ba  0.869  0.869  0.394
Cs  0.000  0.000  0.000
Ba  0.131  0.131  0.606
Bi  0.247  0.247  0.260

Entry 12:
Entry from the Alexandria database: CsRh2Br after structural relaxation (PBE-GGA).

## Properties
M_tot	2.02	μB/f.u.
energy	-3.3274	eV per atom

Cell: 4.994 4.994 4.994 Å, 60.00 60.00 60.00°
Element x y z (fractional)
Cs  0.500  0.500  0.500
Br  0.000  0.000  0.000
Rh  0.750  0.750  0.750
Rh  0.250  0.250  0.250